Ti2OsPt after structural relaxation, computed with PBE.

Values from the calculation:
- density of states at the Fermi level (states/eV/f.u.) = 1.63
- E (eV/atom) = -8.42
- ρ (g/cm3) = 11.98
- formation enthalpy at 0 K (eV per atom) = -0.15

a b c (Å): 6.9241 6.9241 5.6307
angles (deg): 52.06 52.06 90.00
Fractional coordinates of all 8 atoms:
Os: 0.5000 0.5000 0.0000
Os: 0.2500 0.7500 0.5000
Pt: 0.0000 0.0000 0.0000
Pt: 0.7500 0.2500 0.5000
Ti: 0.6148 0.1250 0.2500
Ti: 0.1352 0.6250 0.2500
Ti: 0.3750 0.3852 0.7500
Ti: 0.8750 0.8648 0.7500